(1)
VASP calculation (meta-GGA SCAN) on ReRh2Au at its PBEsol-relaxed geometry.

It has space group Fm-3m (No. 225), with a = 6.1723 Å, b = 6.1723 Å, c = 6.1723 Å, α = 90.00°, β = 90.00° and γ = 90.00°. The distinct sites, in fractional coordinates, are Re at (0.0000, 0.0000, 0.0000), Rh at (0.2500, 0.2500, 0.2500) and Au at (0.0000, 0.0000, 0.5000).

For the total energy, the calculation gives -825.01 eV for the cell shown. The formation energy is 0.39 eV/atom. Its density of states at the Fermi level is 18.0 states/eV per cell.

=====

(2)
VASP calculation (meta-GGA SCAN) on ReRh2Au at its PBEsol-relaxed geometry.

It has space group P4mm (No. 99), with a = 2.7184 Å, b = 2.7184 Å, c = 7.8490 Å, α = 90.00°, β = 90.00° and γ = 90.00°. The distinct sites, in fractional coordinates, are Re at (0.0000, 0.0000, 0.0000), Rh at (0.0000, 0.0000, 0.4760), Rh at (0.5000, 0.5000, 0.2319) and Au at (0.5000, 0.5000, 0.7359).

For the total energy, the calculation gives -207.15 eV for the cell shown. The formation energy is 0.16 eV/atom. Its density of states at the Fermi level is 4.7 states/eV per cell.

=====

(3)
VASP calculation (meta-GGA SCAN) on ReRhAu2 at its PBEsol-relaxed geometry.

It has space group Pmmm (No. 47), with a = 2.7697 Å, b = 4.0038 Å, c = 5.4929 Å, α = 90.00°, β = 90.00° and γ = 90.00°. The distinct sites, in fractional coordinates, are Re at (0.0000, 0.0000, 0.0000), Rh at (0.0000, 0.0000, 0.5000) and Au at (0.5000, 0.5000, 0.2484).

For the total energy, the calculation gives -241.50 eV for the cell shown. The formation energy is 0.42 eV/atom. Its density of states at the Fermi level is 3.4 states/eV per cell.

=====

(4)
VASP calculation (meta-GGA SCAN) on ReRh2Au at its PBEsol-relaxed geometry.

It has space group R-3m (No. 166, hexagonal axes), with a = 2.7340 Å, b = 2.7340 Å, c = 27.0268 Å, α = 90.00°, β = 90.00° and γ = 120.00°. The distinct sites, in fractional coordinates, are Re at (0.0000, 0.0000, 0.0000), Rh at (0.0000, 0.0000, 0.2549) and Au at (0.0000, 0.0000, 0.5000).

For the total energy, the calculation gives -623.88 eV for the cell shown. The formation energy is -0.04 eV/atom. Its density of states at the Fermi level is 9.3 states/eV per cell.

=====

(5)
VASP calculation (meta-GGA SCAN) on ReRhAu2 at its PBEsol-relaxed geometry.

It has space group Fm-3m (No. 225), with a = 6.2583 Å, b = 6.2583 Å, c = 6.2583 Å, α = 90.00°, β = 90.00° and γ = 90.00°. The distinct sites, in fractional coordinates, are Re at (0.0000, 0.0000, 0.0000), Rh at (0.0000, 0.0000, 0.5000) and Au at (0.2500, 0.2500, 0.2500).

For the total energy, the calculation gives -964.13 eV for the cell shown. The formation energy is 0.54 eV/atom. Its density of states at the Fermi level is 6.9 states/eV per cell.

=====

(6)
VASP calculation (meta-GGA SCAN) on Re2SnRuAu at its PBEsol-relaxed geometry.

It has space group P4/mmm (No. 123), with a = 4.8222 Å, b = 4.8222 Å, c = 4.7954 Å, α = 90.00°, β = 90.00° and γ = 90.00°. The distinct sites, in fractional coordinates, are Re at (0.0000, 0.5000, 0.0000), Sn at (0.0000, 0.0000, 0.5000), Ru at (0.5000, 0.5000, 0.5000) and Au at (0.0000, 0.0000, 0.0000).

For the total energy, the calculation gives -268.54 eV for the cell shown. The formation energy is 2.71 eV/atom. Its density of states at the Fermi level is 3.8 states/eV per cell.